Computed, not measured: crystalline NdTaV2O8 at its relaxed geometry at the GGA+U level of DFT.

a = 4.7555 Å, b = 4.7543 Å, c = 6.5438 Å
α = 90.00°, β = 90.00°, γ = 87.50°
With the nearest neighbours (Å) after each atom.
Sites, in units of the cell vectors:
O: 0.6678 0.6686 0.5000  2 V 2.00
Nd: 0.0000 0.0000 0.5000  6 O 2.28-2.33
V: 0.5000 0.5000 0.7492  4 O 1.89-2.00
O: 0.7860 0.2143 0.2160  1 V 1.89, 1 Ta 2.00
V: 0.5000 0.5000 0.2508  4 O 1.89-2.00
O: 0.2140 0.7857 0.7840  1 V 1.89, 1 Ta 2.00
O: 0.2962 0.2960 0.0000  1 Ta 2.03, 2 V 2.16
Ta: 0.0000 0.0000 0.0000  6 O 2.00-2.03
O: 0.3322 0.3314 0.5000  2 V 2.00
O: 0.2140 0.7857 0.2160  1 V 1.89, 1 Ta 2.00
O: 0.7038 0.7040 0.0000  1 Ta 2.03, 2 V 2.16
O: 0.7860 0.2143 0.7840  1 V 1.89, 1 Ta 2.00

energy = -8.385 eV/atom